[1]
This record from the Alexandria database describes crystalline CrHgTe2 at its relaxed geometry. The functional is PBE.

Results
Total magnetization   4.482 μB/f.u.
D(E_F)   1.9 states/eV/f.u.
Calculated total energy   -15.3 eV for the cell shown
Energy relative to the elements, uncorrected   232 meV/atom

Lattice parameters (Å, degrees): 5.9341 5.2734 4.5626 74.11 73.60 116.14
Last column: magnetic moment on the atom in μB.
Atoms (fractional coordinates):
Te1 0.0000 0.0000 0.0000  -0.04
Te2 0.5000 0.0000 0.5000  -0.04
Hg1 0.5000 0.5000 0.0000  0.03
Cr1 0.0000 0.5000 0.5000  3.97

[2]
This record from the Alexandria database describes crystalline Cr2HgTe at its relaxed geometry. The functional is PBE.

Results
Total magnetization   8.284 μB/f.u.
D(E_F)   1.8 states/eV/f.u.
Calculated total energy   -21.0 eV for the cell shown
Energy relative to the elements, uncorrected   415 meV/atom

Lattice parameters (Å, degrees): 3.5504 3.5504 6.5445 90.00 90.00 90.01
Last column: magnetic moment on the atom in μB.
Atoms (fractional coordinates):
Cr1 0.0000 0.0000 0.0016  3.78
Cr2 0.0000 0.0000 0.4984  3.78
Te1 0.5000 0.5000 0.7500  -0.15
Hg1 0.5000 0.5000 0.2500  0.00

[3]
This record from the Alexandria database describes crystalline CrHgTe2 at its relaxed geometry. The functional is PBE.

Results
Total magnetization   2.452 μB/f.u.
D(E_F)   1.8 states/eV/f.u.
Calculated total energy   -16.7 eV for the cell shown
Energy relative to the elements, uncorrected   -130 meV/atom

Lattice parameters (Å, degrees): 3.8367 3.8367 9.0426 77.75 77.75 60.00
Last column: magnetic moment on the atom in μB.
Atoms (fractional coordinates):
Te1 0.2746 0.2746 0.1761  -0.18
Te2 0.0592 0.0592 0.8224  -0.18
Hg1 0.4990 0.4990 0.5030  -0.03
Cr1 0.6672 0.6672 0.9984  2.79

[4]
This record from the Alexandria database describes crystalline Cr2HgTe at its relaxed geometry. The functional is PBE.

Results
Total magnetization   8.322 μB/f.u.
D(E_F)   3.5 states/eV/f.u.
Calculated total energy   -20.9 eV for the cell shown
Energy relative to the elements, uncorrected   443 meV/atom

Lattice parameters (Å, degrees): 5.4761 4.0519 4.0293 90.00 90.00 90.00
Last column: magnetic moment on the atom in μB.
Atoms (fractional coordinates):
Cr1 0.5000 0.2752 0.3776  3.81
Cr2 0.0000 0.9673 0.8726  3.68
Te1 0.5000 0.7872 0.8769  -0.10
Hg1 0.0000 0.4703 0.3729  0.05

[5]
This record from the Alexandria database describes crystalline CrHg2Te at its relaxed geometry. The functional is PBE.

Results
Total magnetization   4.046 μB/f.u.
D(E_F)   2.0 states/eV/f.u.
Calculated total energy   -12.0 eV for the cell shown
Energy relative to the elements, uncorrected   332 meV/atom

Lattice parameters (Å, degrees): 5.0404 5.0404 4.2956 90.00 90.00 113.22
Last column: magnetic moment on the atom in μB.
Atoms (fractional coordinates):
Cr1 0.0000 0.5000 0.5000  3.84
Te1 0.5000 0.0000 0.5000  -0.15
Hg1 0.5000 0.5000 0.0000  -0.03
Hg2 0.0000 0.0000 0.0000  -0.03

[6]
This record from the Alexandria database describes crystalline Cr2HgTe at its relaxed geometry. The functional is PBE.

Results
Total magnetization   8.205 μB/f.u.
D(E_F)   2.3 states/eV/f.u.
Calculated total energy   -21.0 eV for the cell shown
Energy relative to the elements, uncorrected   426 meV/atom

Lattice parameters (Å, degrees): 6.6629 6.6629 6.6629 148.88 143.91 48.39
Last column: magnetic moment on the atom in μB.
Atoms (fractional coordinates):
Te1 0.7889 0.2889 0.5000  -0.15
Cr1 0.2063 0.7063 0.5000  3.79
Cr2 0.9680 0.9680 0.0000  3.65
Hg1 0.5369 0.5369 0.0000  0.03